Material: Tl2CdTeRu
Method: DFT, PBE
State: optimized geometry

E (Ry per atom): -0.20983
Space-group type: P4/mmm, No. 123
Crystal system: tetragonal
Formation energy without anion corrections (kcal/mol of atoms): 17.48
Total magnetic moment (μB/cell): 1.52

a b c (Å): 6.334 4.935 6.334
angles (deg): 90.00 90.00 90.00
Last column: magnetic moment on the atom in μB.
Sites, in units of the cell vectors:
Ru 0.000 0.500 0.000  1.37
Cd 0.500 0.500 0.500  0.00
Tl 0.500 0.000 0.000  0.00
Tl 0.000 0.000 0.500  0.01
Te 0.000 0.000 0.000  0.01